(1)
The following is a DFT calculation (PBE) of La2PmY6 after structural relaxation.

Structure (extended XYZ):
```
18
Lattice="6.515 -7.188 0.000 6.515 7.188 0.000 -1.383 0.000 6.509" Properties=species:S:1:pos:R:3 pbc="T T T"
La 1.303 0.408 2.448
La 0.611 -0.408 5.703
La 11.035 0.408 0.806
La 10.343 -0.408 4.061
Pm 5.477 1.687 4.882
Pm 6.169 -1.687 1.627
Y 2.151 2.893 4.780
Y 4.706 4.436 6.506
Y 6.249 4.436 3.258
Y 4.517 1.244 1.221
Y 2.843 -2.893 1.525
Y 3.825 -1.244 4.476
Y 7.821 1.244 2.033
Y 8.803 2.893 4.984
Y 7.129 -1.244 5.288
Y 5.397 -4.436 3.251
Y 6.940 -4.436 0.003
Y 9.495 -2.893 1.729
```

Results
Symmetry: C2/c (15)
Energy relative to the elements in meV/atom: 103
Polymorph energy (0 for the lowest one) in meV/atom: 73

---

(2)
The following is a DFT calculation (PBE) of LaPm2Y4 after structural relaxation.

Structure (extended XYZ):
```
7
Lattice="8.502 -1.794 0.000 8.502 1.794 0.000 -4.400 0.000 7.713" Properties=species:S:1:pos:R:3 pbc="T T T"
La 0.000 0.000 0.000
Pm -0.713 0.000 3.315
Pm 13.318 0.000 4.397
Y 1.871 0.000 5.440
Y 5.325 0.000 1.223
Y 7.280 0.000 6.489
Y 10.734 0.000 2.272
```

Results
Symmetry: C2/m (12)
Energy relative to the elements in meV/atom: 29
Polymorph energy (0 for the lowest one) in meV/atom: 0

---

(3)
The following is a DFT calculation (PBE) of La8Pm3Y2 after structural relaxation.

Structure (extended XYZ):
```
13
Lattice="10.366 -3.871 0.000 10.366 3.871 0.000 -0.003 0.000 5.928" Properties=species:S:1:pos:R:3 pbc="T T T"
La 8.178 2.297 5.920
La 3.613 0.000 2.975
La 12.550 2.297 0.008
La 7.579 0.000 2.960
La 13.150 0.000 2.968
La 8.178 -2.297 5.920
La 17.115 0.000 2.954
La 12.550 -2.297 0.008
Pm 10.364 2.182 2.964
Pm 10.366 0.000 0.000
Pm 10.364 -2.182 2.964
Y 5.363 0.000 0.008
Y 15.365 0.000 5.921
```

Results
Symmetry: C2/m (12)
Energy relative to the elements in meV/atom: 180
Polymorph energy (0 for the lowest one) in meV/atom: 32

---

(4)
The following is a DFT calculation (PBE) of LaPm7Y3 after structural relaxation.

Structure (extended XYZ):
```
11
Lattice="5.921 -5.086 0.000 5.921 5.086 0.000 -0.635 0.000 6.456" Properties=species:S:1:pos:R:3 pbc="T T T"
La 0.000 0.000 0.000
Pm -0.318 0.000 3.228
Pm 2.481 1.777 4.902
Pm 2.937 0.000 1.869
Pm 2.481 -1.777 4.902
Pm 8.725 1.777 1.554
Pm 8.270 0.000 4.588
Pm 8.725 -1.777 1.554
Y 5.603 1.730 3.228
Y 5.921 0.000 0.000
Y 5.603 -1.730 3.228
```

Results
Symmetry: C2/m (12)
Energy relative to the elements in meV/atom: 211
Polymorph energy (0 for the lowest one) in meV/atom: 23